Entry i
First-principles (PBE) data for an optimized crystal structure of LuHfSnC, as listed in the Open Quantum Materials Database.

POSCAR file:
```
LuHfSnC
1.0
3.415 0.000 0.000
-1.708 2.958 0.000
0.000 0.000 14.948
C Hf Lu Sn
2 2 2 2
direct
0.000 0.000 0.263 C
0.000 0.000 0.737 C
0.333 0.667 0.340 Hf
0.333 0.667 0.660 Hf
0.667 0.333 0.171 Lu
0.667 0.333 0.829 Lu
0.333 0.667 0.000 Sn
0.667 0.333 0.500 Sn
```

space group = P-6m2 (187)


Entry ii
First-principles (PBE) data for an optimized crystal structure of LuHfSnC, as listed in the Open Quantum Materials Database.

POSCAR file:
```
LuHfSnC
1.0
3.428 0.000 0.000
-1.714 2.969 0.000
0.000 0.000 14.953
C Hf Lu Sn
2 2 2 2
direct
0.000 0.000 0.000 C
0.000 0.000 0.500 C
0.333 0.667 0.080 Hf
0.667 0.333 0.920 Hf
0.333 0.667 0.413 Lu
0.667 0.333 0.587 Lu
0.667 0.333 0.240 Sn
0.333 0.667 0.760 Sn
```

space group = P-3m1 (164)


Here are the energies relative to the best structure, in kJ/mol of atoms: entry i 0.0; entry ii 2.5.


Entry i
First-principles (PBE) data for an optimized crystal structure of TmHfPbC, as listed in the Open Quantum Materials Database.

POSCAR file:
```
TmHfPbC
1.0
-2.489 -0.510 2.359
-0.081 -1.726 -3.006
8.229 -11.268 6.247
C Hf Pb Tm
2 2 2 2
direct
0.000 0.000 0.000 C
0.000 0.000 0.500 C
0.333 0.667 0.077 Hf
0.667 0.333 0.923 Hf
0.667 0.333 0.239 Pb
0.333 0.667 0.761 Pb
0.333 0.667 0.414 Tm
0.667 0.333 0.586 Tm
```

space group = P-3m1 (164)


Entry ii
First-principles (PBE) data for an optimized crystal structure of TmHfPbC, as listed in the Open Quantum Materials Database.

POSCAR file:
```
TmHfPbC
1.0
-1.940 -2.757 -0.768
0.712 0.747 3.300
-12.585 8.645 0.760
C Hf Pb Tm
2 2 2 2
direct
0.000 0.000 0.265 C
0.000 0.000 0.735 C
0.333 0.667 0.338 Hf
0.333 0.667 0.662 Hf
0.333 0.667 0.000 Pb
0.667 0.333 0.500 Pb
0.667 0.333 0.174 Tm
0.667 0.333 0.826 Tm
```

space group = P-6m2 (187)


Entry iii
First-principles (PBE) data for an optimized crystal structure of TmHfPbC, as listed in the Open Quantum Materials Database.

POSCAR file:
```
TmHfPbC
1.0
-0.729 3.309 0.674
0.268 -2.271 2.589
14.943 3.058 1.138
C Hf Pb Tm
2 2 2 2
direct
0.000 0.000 0.008 C
0.000 0.000 0.508 C
0.333 0.667 0.081 Hf
0.667 0.333 0.581 Hf
0.667 0.333 0.244 Pb
0.333 0.667 0.744 Pb
0.333 0.667 0.417 Tm
0.667 0.333 0.917 Tm
```

space group = P6_3mc (186)


Here are the energies relative to the best structure, in kJ/mol of atoms: entry i 3.6; entry ii 0.8; entry iii 0.0.


Entry i
First-principles (PBE) data for an optimized crystal structure of HfScCS, as listed in the Open Quantum Materials Database.

POSCAR file:
```
HfScCS
1.0
-3.372 0.372 -0.300
1.431 -3.044 -0.532
-1.328 -2.660 11.642
C Hf S Sc
2 2 2 2
direct
0.000 0.000 0.254 C
0.000 0.000 0.746 C
0.333 0.667 0.349 Hf
0.333 0.667 0.651 Hf
0.333 0.667 0.000 S
0.667 0.333 0.500 S
0.667 0.333 0.145 Sc
0.667 0.333 0.855 Sc
```

space group = P-6m2 (187)


Entry ii
First-principles (PBE) data for an optimized crystal structure of HfScCS, as listed in the Open Quantum Materials Database.

POSCAR file:
```
HfScCS
1.0
3.408 0.000 0.000
-1.704 2.951 0.000
0.000 0.000 12.018
C Hf S Sc
2 2 2 2
direct
0.000 0.000 0.497 C
0.000 0.000 0.997 C
0.667 0.333 0.399 Hf
0.333 0.667 0.899 Hf
0.333 0.667 0.252 S
0.667 0.333 0.752 S
0.667 0.333 0.102 Sc
0.333 0.667 0.602 Sc
```

space group = P6_3mc (186)


Here are the energies relative to the best structure, in kJ/mol of atoms: entry i 1.6; entry ii 0.0.


Entry i
First-principles (PBE) data for an optimized crystal structure of TbHfCS, as listed in the Open Quantum Materials Database.

POSCAR file:
```
TbHfCS
1.0
-0.377 3.377 -0.928
-0.679 -2.553 -2.330
-12.005 -0.290 3.819
C Hf S Tb
2 2 2 2
direct
0.000 0.000 0.227 C
0.000 0.000 0.773 C
0.333 0.667 0.142 Hf
0.333 0.667 0.858 Hf
0.667 0.333 0.000 S
0.333 0.667 0.500 S
0.667 0.333 0.348 Tb
0.667 0.333 0.652 Tb
```

space group = P-6m2 (187)


Entry ii
First-principles (PBE) data for an optimized crystal structure of TbHfCS, as listed in the Open Quantum Materials Database.

POSCAR file:
```
TbHfCS
1.0
3.514 0.000 0.000
-1.757 3.043 0.000
0.000 0.000 12.639
C Hf S Tb
2 2 2 2
direct
0.000 0.000 0.486 C
0.000 0.000 0.986 C
0.667 0.333 0.399 Hf
0.333 0.667 0.899 Hf
0.333 0.667 0.261 S
0.667 0.333 0.761 S
0.667 0.333 0.104 Tb
0.333 0.667 0.604 Tb
```

space group = P6_3mc (186)


Entry iii
First-principles (PBE) data for an optimized crystal structure of TbHfCS, as listed in the Open Quantum Materials Database.

POSCAR file:
```
TbHfCS
1.0
3.532 0.000 0.000
-1.766 3.059 0.000
0.000 0.000 12.607
C Hf S Tb
2 2 2 2
direct
0.000 0.000 0.000 C
0.000 0.000 0.500 C
0.667 0.333 0.094 Hf
0.333 0.667 0.906 Hf
0.333 0.667 0.230 S
0.667 0.333 0.770 S
0.667 0.333 0.391 Tb
0.333 0.667 0.609 Tb
```

space group = P-3m1 (164)


Here are the energies relative to the best structure, in kJ/mol of atoms: entry i 1.9; entry ii 0.0; entry iii 4.3.